The following is a DFT calculation (PBE) of an optimized crystal structure of CrRe5. Values from VASP.

Computed properties:
The calculation puts the energy above the most stable polymorph in this dataset at 191 kJ/mol of formula units. As for the formation energy from the elements: 0.420 eV/atom. The total moment is 1.20 μB per cell.

Structure (Quantum ESPRESSO input):
```
&SYSTEM
  ibrav = 0, nat = 6, ntyp = 2
/
ATOMIC_SPECIES
Cr 52.00 Cr.upf
Re 186.21 Re.upf
CELL_PARAMETERS angstrom
4.406 -0.957 -2.388
2.970 -3.841 1.568
0.486 -4.187 -2.875
ATOMIC_POSITIONS crystal
Cr 0.000 0.000 0.000
Re 0.626 0.626 0.122
Re 0.250 0.250 0.250
Re 0.626 0.626 0.626
Re 0.122 0.626 0.626
Re 0.626 0.122 0.626
```